(1)
GGA-PBE BaZnTe2, optimized geometry; E_tot = -0.22151 Ry per atom; symmetry = C2/m, No. 12; formation energy (no corrections) = -643.8 meV per atom
1.0
-5.428 -4.469 3.943
1.524 -1.342 -5.062
0.706 -4.259 1.348
Ba Te Zn
1 2 1
Cartesian
-1.952 -2.906 -0.560 Ba
0.000 0.000 0.000 Te
-2.361 -4.364 2.645 Te
1.115 -2.801 -1.857 Zn

=====

(2)
GGA-PBE CaCeCd, optimized geometry; E_tot = -0.22633 Ry per atom; symmetry = Cmcm, No. 63; DFT formation energy = -0.129 eV per atom; E above lowest polymorph = 0.00 eV per formula unit
1.0
3.618 0.000 0.000
0.000 5.440 0.000
-1.809 0.000 8.885
Cd Ca Ce
2 2 2
Cartesian
0.000 1.360 7.420 Cd
1.809 4.080 1.466 Cd
1.809 4.080 7.520 Ca
0.000 1.360 1.366 Ca
1.809 1.360 4.721 Ce
0.000 4.080 4.164 Ce

=====

(3)
GGA-PBE AcTl2Hg, optimized geometry; E_tot = -0.18505 Ry per atom; symmetry = Immm, No. 71; DFT formation energy = -0.232 eV per atom; E above lowest polymorph = 0.45 eV per formula unit
1.0
4.944 0.000 0.000
0.000 10.431 0.000
-2.472 -5.216 9.774
Ac Tl Hg
4 8 4
Cartesian
2.472 5.216 3.962 Ac
2.472 2.881 0.000 Ac
2.472 7.550 0.000 Ac
0.000 0.000 5.812 Ac
2.472 0.000 8.353 Tl
2.472 1.548 3.808 Tl
2.472 -1.548 3.808 Tl
0.000 3.668 5.966 Tl
0.000 0.000 1.521 Tl
0.000 5.216 1.421 Tl
2.472 5.216 8.253 Tl
0.000 6.763 5.966 Tl
2.472 2.484 6.958 Hg
0.000 2.731 2.817 Hg
0.000 7.700 2.817 Hg
2.472 -2.484 6.958 Hg

=====

(4)
GGA-PBE Tc3Hg, optimized geometry; E_tot = -0.53329 Ry per atom; symmetry = Pm-3m, No. 221; DFT formation energy = 0.594 eV per atom; E above lowest polymorph = 1.19 eV per formula unit
1.0
3.979 0.000 0.000
0.000 3.979 0.000
0.000 0.000 3.979
Hg Tc
1 3
Cartesian
0.000 0.000 0.000 Hg
0.000 1.989 1.989 Tc
1.989 0.000 1.989 Tc
1.989 1.989 0.000 Tc

=====

(5)
GGA-PBE K2BaSn2, optimized geometry; E_tot = -0.19372 Ry per atom; symmetry = P4/mbm, No. 127; DFT formation energy = -0.211 eV per atom; E above lowest polymorph = 0.52 eV per formula unit
1.0
8.915 0.000 0.000
0.000 8.915 0.000
0.000 0.000 5.634
K Ba Sn
4 2 4
Cartesian
1.504 5.962 2.817 K
5.962 7.410 2.817 K
7.410 2.953 2.817 K
2.953 1.504 2.817 K
0.000 0.000 0.000 Ba
4.457 4.457 0.000 Ba
3.473 7.930 0.000 Sn
7.930 5.441 0.000 Sn
5.441 0.984 0.000 Sn
0.984 3.473 0.000 Sn

=====

(6)
GGA-PBE ZnOsN2F, optimized geometry; E_tot = -0.43003 Ry per atom; symmetry = P4/mmm, No. 123; E above lowest polymorph = 0.00 eV per formula unit; formation energy (no corrections) = 354.3 meV per atom
1.0
3.832 0.000 0.000
0.000 3.832 0.000
0.000 0.000 4.342
Zn N Os F
1 2 1 1
Cartesian
1.916 1.916 2.171 Zn
0.000 1.916 0.000 N
1.916 0.000 0.000 N
0.000 0.000 0.000 Os
0.000 0.000 2.171 F